Compound: KW5
Source: Alexandria
Functional: PBE
Structure: optimized geometry Values from VASP.

Theoretical density in g cm⁻³: 13.35
VASP energy in eV/atom: -9.94
M_tot in Bohr magnetons per cell: 0.0
Calculated volume in Å³/atom: 19.869
DOS(E_F) in states/eV/f.u.: 4.72
SG: Cm
Energy above the most stable polymorph in this dataset in eV/atom: 0.0200
Formation energy from the elements in meV per atom: 1035

The structure in Quantum ESPRESSO input format:
```
&SYSTEM
  ibrav = 0, nat = 6, ntyp = 2
/
ATOMIC_SPECIES
K 39.10 K.upf
W 183.84 W.upf
CELL_PARAMETERS angstrom
-3.756 -4.986 -1.910
-1.539 -5.439 -3.265
1.653 -5.516 4.549
ATOMIC_POSITIONS crystal
K 0.981 0.981 0.049
W 0.316 0.316 0.422
W 0.642 0.642 0.643
W 0.686 0.686 0.233
W 0.947 0.947 0.614
W 0.261 0.261 0.872
```



Compound: La2TmZrP4
Source: Alexandria
Functional: PBE
Structure: optimized geometry Values from VASP.

Theoretical density in g cm⁻³: 5.88
VASP energy in eV/atom: -7.08
M_tot in Bohr magnetons per cell: 0.0
Calculated volume in Å³/atom: 23.376
DOS(E_F) in states/eV/f.u.: 1.43
SG: P2/m
Formation energy from the elements in meV per atom: -1518

The structure in Quantum ESPRESSO input format:
```
&SYSTEM
  ibrav = 0, nat = 8, ntyp = 4
/
ATOMIC_SPECIES
La 138.91 La.upf
Tm 168.93 Tm.upf
Zr 91.22 Zr.upf
P 30.97 P.upf
CELL_PARAMETERS angstrom
4.027 0.000 0.000
0.000 6.980 0.127
0.000 -2.435 6.609
ATOMIC_POSITIONS crystal
La 0.500 0.000 0.500
La 0.000 0.500 0.500
Tm 0.500 0.500 0.000
Zr 0.000 0.000 0.000
P 0.500 0.235 0.223
P 0.500 0.765 0.777
P 0.000 0.251 0.774
P 0.000 0.749 0.226
```



Compound: CrSiPb2
Source: Alexandria
Functional: PBE
Structure: optimized geometry Values from VASP.

Theoretical density in g cm⁻³: 8.61
VASP energy in eV/atom: -4.96
M_tot in Bohr magnetons per cell: 4.1
Calculated volume in Å³/atom: 23.835
DOS(E_F) in states/eV/f.u.: 2.45
SG: F-43m

The structure in Quantum ESPRESSO input format:
```
&SYSTEM
  ibrav = 0, nat = 4, ntyp = 3
/
ATOMIC_SPECIES
Cr 52.00 Cr.upf
Pb 207.20 Pb.upf
Si 28.09 Si.upf
CELL_PARAMETERS angstrom
5.128 0.000 0.000
2.564 4.441 0.000
2.564 1.480 4.187
ATOMIC_POSITIONS crystal
Cr 0.500 0.500 0.500
Pb 0.000 0.000 0.000
Pb 0.750 0.750 0.750
Si 0.250 0.250 0.250
```



Compound: ErAs2Pd7Pb2
Source: Alexandria
Functional: PBE
Structure: optimized geometry Values from VASP.

Theoretical density in g cm⁻³: 10.29
VASP energy in eV/atom: -5.28
M_tot in Bohr magnetons per cell: 0.0
Calculated volume in Å³/atom: 19.847
DOS(E_F) in states/eV/f.u.: 4.47
SG: C2/m
Formation energy from the elements in meV per atom: -476

The structure in Quantum ESPRESSO input format:
```
&SYSTEM
  ibrav = 0, nat = 12, ntyp = 4
/
ATOMIC_SPECIES
Er 167.26 Er.upf
As 74.92 As.upf
Pd 106.42 Pd.upf
Pb 207.20 Pb.upf
CELL_PARAMETERS angstrom
4.066 -0.005 -0.124
0.000 4.066 -0.124
1.582 1.580 14.313
ATOMIC_POSITIONS crystal
Er 0.000 0.000 0.000
As 0.571 0.571 0.753
As 0.429 0.429 0.247
Pd 0.500 0.500 0.000
Pd 0.391 0.391 0.419
Pd 0.609 0.609 0.581
Pd 0.957 0.458 0.147
Pd 0.458 0.957 0.147
Pd 0.542 0.043 0.853
Pd 0.043 0.542 0.853
Pb 0.888 0.888 0.392
Pb 0.112 0.112 0.608
```



Compound: Dy4Ag3Au
Source: Alexandria
Functional: PBE
Structure: optimized geometry Values from VASP.

Theoretical density in g cm⁻³: 10.20
VASP energy in eV/atom: -4.24
M_tot in Bohr magnetons per cell: 0.0
Calculated volume in Å³/atom: 23.817
DOS(E_F) in states/eV/f.u.: 5.42
SG: P4/mmm
Formation energy from the elements in meV per atom: -459

The structure in Quantum ESPRESSO input format:
```
&SYSTEM
  ibrav = 0, nat = 8, ntyp = 3
/
ATOMIC_SPECIES
Au 196.97 Au.upf
Ag 107.87 Ag.upf
Dy 162.50 Dy.upf
CELL_PARAMETERS angstrom
3.614 0.000 0.000
0.000 3.614 0.000
0.000 0.000 14.585
ATOMIC_POSITIONS crystal
Au 0.500 0.500 0.000
Ag 0.500 0.500 0.250
Ag 0.500 0.500 0.500
Ag 0.500 0.500 0.750
Dy 0.000 0.000 0.879
Dy 0.000 0.000 0.121
Dy 0.000 0.000 0.374
Dy 0.000 0.000 0.626
```



Compound: Pb3Au5
Source: Alexandria
Functional: PBE
Structure: optimized geometry Values from VASP.

Theoretical density in g cm⁻³: 14.40
VASP energy in eV/atom: -3.49
M_tot in Bohr magnetons per cell: 0.0
Calculated volume in Å³/atom: 23.160
DOS(E_F) in states/eV/f.u.: 3.09
SG: Pnma
Energy above the most stable polymorph in this dataset in eV/atom: 0.0000
Formation energy from the elements in meV per atom: -52

The structure in Quantum ESPRESSO input format:
```
&SYSTEM
  ibrav = 0, nat = 32, ntyp = 2
/
ATOMIC_SPECIES
Pb 207.20 Pb.upf
Au 196.97 Au.upf
CELL_PARAMETERS angstrom
6.028 0.000 0.000
0.000 10.872 0.000
0.000 0.000 11.308
ATOMIC_POSITIONS crystal
Pb 0.637 0.250 0.069
Pb 0.863 0.250 0.569
Pb 0.363 0.750 0.931
Pb 0.137 0.750 0.431
Pb 0.134 0.510 0.157
Pb 0.366 0.990 0.657
Pb 0.866 0.010 0.843
Pb 0.634 0.490 0.343
Pb 0.866 0.490 0.843
Pb 0.634 0.010 0.343
Pb 0.134 0.990 0.157
Pb 0.366 0.510 0.657
Au 0.367 0.250 0.563
Au 0.133 0.250 0.063
Au 0.633 0.750 0.437
Au 0.867 0.750 0.937
Au 0.385 0.250 0.303
Au 0.115 0.250 0.803
Au 0.615 0.750 0.697
Au 0.885 0.750 0.197
Au 0.899 0.250 0.294
Au 0.601 0.250 0.794
Au 0.101 0.750 0.706
Au 0.399 0.750 0.206
Au 0.149 0.448 0.419
Au 0.351 0.052 0.919
Au 0.851 0.948 0.581
Au 0.649 0.552 0.081
Au 0.851 0.552 0.581
Au 0.649 0.948 0.081
Au 0.149 0.052 0.419
Au 0.351 0.448 0.919
```



Compound: NpH3Ir
Source: Alexandria
Functional: PBE
Structure: optimized geometry Values from VASP.

Theoretical density in g cm⁻³: 14.12
VASP energy in eV/atom: -6.53
M_tot in Bohr magnetons per cell: 4.2
Calculated volume in Å³/atom: 10.166
DOS(E_F) in states/eV/f.u.: 7.74
SG: Pm-3m

The structure in Quantum ESPRESSO input format:
```
&SYSTEM
  ibrav = 0, nat = 5, ntyp = 3
/
ATOMIC_SPECIES
Np 237.00 Np.upf
H 1.01 H.upf
Ir 192.22 Ir.upf
CELL_PARAMETERS angstrom
3.704 0.000 0.000
0.000 3.704 0.000
0.000 0.000 3.704
ATOMIC_POSITIONS crystal
Np 0.500 0.500 0.500
H 0.000 0.500 0.000
H 0.000 0.000 0.500
H 0.500 0.000 0.000
Ir 0.000 0.000 0.000
```



Compound: La5PrTl6
Source: Alexandria
Functional: PBE
Structure: optimized geometry Values from VASP.

Theoretical density in g cm⁻³: 9.07
VASP energy in eV/atom: -4.05
M_tot in Bohr magnetons per cell: 0.0
Calculated volume in Å³/atom: 31.468
DOS(E_F) in states/eV/f.u.: 13.06
SG: Cmmm
Formation energy from the elements in meV per atom: -419

The structure in Quantum ESPRESSO input format:
```
&SYSTEM
  ibrav = 0, nat = 12, ntyp = 3
/
ATOMIC_SPECIES
Pr 140.91 Pr.upf
Tl 204.38 Tl.upf
La 138.91 La.upf
CELL_PARAMETERS angstrom
5.357 -0.032 1.785
0.043 7.891 0.014
0.000 -0.016 8.932
ATOMIC_POSITIONS crystal
Pr 0.000 0.000 0.000
Tl 0.835 0.752 0.330
Tl 0.835 0.248 0.330
Tl 0.500 0.249 0.000
Tl 0.500 0.751 0.000
Tl 0.165 0.752 0.670
Tl 0.165 0.248 0.670
La 0.668 0.500 0.663
La 0.333 0.000 0.333
La 0.000 0.500 0.000
La 0.667 0.000 0.667
La 0.332 0.500 0.337
```



Compound: SnHgRh3
Source: Alexandria
Functional: PBE
Structure: optimized geometry Values from VASP.

Theoretical density in g cm⁻³: 9.09
VASP energy in eV/atom: -4.34
M_tot in Bohr magnetons per cell: 0.9
Calculated volume in Å³/atom: 22.939
DOS(E_F) in states/eV/f.u.: 4.83
SG: Pm-3m
Energy above the most stable polymorph in this dataset in eV/atom: 0.0000
Formation energy from the elements in meV per atom: 928

The structure in Quantum ESPRESSO input format:
```
&SYSTEM
  ibrav = 0, nat = 5, ntyp = 3
/
ATOMIC_SPECIES
Rh 102.91 Rh.upf
Hg 200.59 Hg.upf
Sn 118.71 Sn.upf
CELL_PARAMETERS angstrom
4.859 0.000 0.000
0.000 4.859 0.000
0.000 0.000 4.859
ATOMIC_POSITIONS crystal
Rh 0.000 0.500 0.000
Rh 0.000 0.000 0.500
Rh 0.500 0.000 0.000
Hg 0.500 0.500 0.500
Sn 0.000 0.000 0.000
```



Compound: CoTcRu2
Source: Alexandria
Functional: PBE
Structure: optimized geometry Values from VASP.

Theoretical density in g cm⁻³: 10.75
VASP energy in eV/atom: -8.61
M_tot in Bohr magnetons per cell: 2.9
Calculated volume in Å³/atom: 13.870
DOS(E_F) in states/eV/f.u.: 6.05
SG: Cmmm
Energy above the most stable polymorph in this dataset in eV/atom: 0.3126
Formation energy from the elements in meV per atom: 399

The structure in Quantum ESPRESSO input format:
```
&SYSTEM
  ibrav = 0, nat = 4, ntyp = 3
/
ATOMIC_SPECIES
Co 58.93 Co.upf
Ru 101.07 Ru.upf
Tc 98.00 Tc.upf
CELL_PARAMETERS angstrom
-2.641 -0.013 -0.125
1.195 -2.303 -0.510
-0.396 -2.103 8.563
ATOMIC_POSITIONS crystal
Co 0.500 0.500 0.750
Ru 0.000 0.000 0.993
Ru 0.000 0.000 0.507
Tc 0.500 0.500 0.250
```



Compound: Tl6SnHg23
Source: Alexandria
Functional: PBE
Structure: optimized geometry Values from VASP.

Theoretical density in g cm⁻³: 11.61
VASP energy in eV/atom: -0.82
M_tot in Bohr magnetons per cell: 0.0
Calculated volume in Å³/atom: 28.415
DOS(E_F) in states/eV/f.u.: 13.09
SG: Fm-3m
Formation energy from the elements in meV per atom: 16

The structure in Quantum ESPRESSO input format:
```
&SYSTEM
  ibrav = 0, nat = 30, ntyp = 3
/
ATOMIC_SPECIES
Tl 204.38 Tl.upf
Sn 118.71 Sn.upf
Hg 200.59 Hg.upf
CELL_PARAMETERS angstrom
9.217 0.000 5.321
3.072 8.690 5.321
0.000 0.000 10.643
ATOMIC_POSITIONS crystal
Tl 0.720 0.720 0.280
Tl 0.280 0.280 0.720
Tl 0.720 0.280 0.280
Tl 0.280 0.720 0.720
Tl 0.720 0.280 0.720
Tl 0.280 0.720 0.280
Sn 0.500 0.500 0.500
Hg 0.641 0.120 0.120
Hg 0.359 0.880 0.880
Hg 0.120 0.120 0.641
Hg 0.120 0.120 0.120
Hg 0.880 0.880 0.359
Hg 0.880 0.880 0.880
Hg 0.120 0.641 0.120
Hg 0.880 0.359 0.880
Hg 0.500 0.500 0.000
Hg 0.000 0.000 0.500
Hg 0.500 0.000 0.000
Hg 0.000 0.500 0.500
Hg 0.500 0.000 0.500
Hg 0.000 0.500 0.000
Hg 0.965 0.345 0.345
Hg 0.035 0.655 0.655
Hg 0.345 0.345 0.965
Hg 0.345 0.345 0.345
Hg 0.655 0.655 0.035
Hg 0.655 0.655 0.655
Hg 0.345 0.965 0.345
Hg 0.655 0.035 0.655
Hg 0.000 0.000 0.000
```



Compound: AlCuSe2
Source: Alexandria
Functional: PBE
Structure: optimized geometry Values from VASP.

Theoretical density in g cm⁻³: 5.36
VASP energy in eV/atom: -3.60
M_tot in Bohr magnetons per cell: 0.0
Calculated volume in Å³/atom: 19.258
DOS(E_F) in states/eV/f.u.: 1.67
SG: Cmm2

The structure in Quantum ESPRESSO input format:
```
&SYSTEM
  ibrav = 0, nat = 4, ntyp = 3
/
ATOMIC_SPECIES
Cu 63.55 Cu.upf
Se 78.96 Se.upf
Al 26.98 Al.upf
CELL_PARAMETERS angstrom
-1.862 2.198 -0.451
-0.063 -0.426 2.884
6.983 6.133 1.059
ATOMIC_POSITIONS crystal
Cu 0.500 0.500 0.720
Se 0.000 0.000 0.927
Se 0.500 0.500 0.318
Al 0.000 0.000 0.534
```



What is the calculated volume in the fourth record? 19.847 Å³/atom



Please write out number 5 again, unchanged.
Compound: Dy4Ag3Au
Source: Alexandria
Functional: PBE
Structure: optimized geometry Values from VASP.

Theoretical density in g cm⁻³: 10.20
VASP energy in eV/atom: -4.24
M_tot in Bohr magnetons per cell: 0.0
Calculated volume in Å³/atom: 23.817
DOS(E_F) in states/eV/f.u.: 5.42
SG: P4/mmm
Formation energy from the elements in meV per atom: -459

The structure in Quantum ESPRESSO input format:
```
&SYSTEM
  ibrav = 0, nat = 8, ntyp = 3
/
ATOMIC_SPECIES
Au 196.97 Au.upf
Ag 107.87 Ag.upf
Dy 162.50 Dy.upf
CELL_PARAMETERS angstrom
3.614 0.000 0.000
0.000 3.614 0.000
0.000 0.000 14.585
ATOMIC_POSITIONS crystal
Au 0.500 0.500 0.000
Ag 0.500 0.500 0.250
Ag 0.500 0.500 0.500
Ag 0.500 0.500 0.750
Dy 0.000 0.000 0.879
Dy 0.000 0.000 0.121
Dy 0.000 0.000 0.374
Dy 0.000 0.000 0.626
```



Among the records above, which one has the lowest VASP energy? KW5